No. 1
NaPaF6: relaxed, PBE-GGA.

Summary:
ρ = 3.5 g/cm3
Spin magnetization = 0.00 μB/cell
ΔE_f (raw) = -29.01 eV/f.u.

Lattice parameters (Å, degrees): 8.8577 8.8577 8.8577 90.00 90.00 90.00
Space group Fm-3m (No. 225)
Unique sites:
1 Na 0.0000 0.0000 0.0000
2 Pa 0.0000 0.0000 0.5000
3 F 0.0000 0.0000 0.2615



No. 2
Na2PaF8: relaxed, PBE-GGA.

Summary:
E above lowest polymorph = 0.0 meV per atom
ρ = 3.8 g/cm3
Spin magnetization = 1.00 μB/cell
ΔE_f (raw) = -33.88 eV/f.u.

Lattice parameters (Å, degrees): 4.0219 6.0326 8.5897 102.10 95.86 109.40
Space group P-1 (No. 2)
Unique sites:
1 Na 0.1846 0.4767 0.1846
2 Pa 0.0000 0.0000 0.5000
3 F 0.0414 0.1659 0.3069
4 F 0.2138 0.3760 0.6272
5 F 0.4124 0.6291 0.9768
6 F 0.4162 0.8935 0.3580



No. 3
Na4PaF8: relaxed, PBE-GGA.

Summary:
ρ = 3.7 g/cm3
Spin magnetization = 4.00 μB/cell
ΔE_f (raw) = -36.64 eV/f.u.

Lattice parameters (Å, degrees): 9.4710 9.4710 9.4710 90.00 90.00 90.00
Space group F-43m (No. 216)
Unique sites:
1 Na 0.1140 0.1140 0.1140
2 Pa 0.0000 0.0000 0.5000
3 F 0.1175 0.1175 0.8825
4 F 0.1297 0.1297 0.3703



No. 4
Na4PaF10: relaxed, PBE-GGA.

Summary:
ρ = 4.0 g/cm3
Spin magnetization = 2.09 μB/cell
ΔE_f (raw) = -45.48 eV/f.u.

Lattice parameters (Å, degrees): 8.8481 8.8481 5.3832 90.00 90.00 90.00
Space group I4/m (No. 87)
Unique sites:
1 Na 0.0995 0.3024 0.0000
2 Pa 0.0000 0.0000 0.5000
3 F 0.0000 0.5000 0.2500
4 F 0.0966 0.8185 0.2638



No. 5
NaPaF2: relaxed, PBE-GGA.

Summary:
ρ = 6.4 g/cm3
Spin magnetization = 2.12 μB/cell
ΔE_f (raw) = -8.22 eV/f.u.

Lattice parameters (Å, degrees): 3.2607 3.2607 24.6375 90.00 90.00 120.00
Space group R-3m (No. 166, hexagonal axes)
Unique sites:
1 Na 0.0000 0.0000 0.0000
2 Pa 0.0000 0.0000 0.5000
3 F 0.0000 0.0000 0.0981



No. 6
Na2PaF5: relaxed, PBE-GGA.

Summary:
ρ = 3.2 g/cm3
Spin magnetization = 3.57 μB/cell
ΔE_f (raw) = -23.94 eV/f.u.

Lattice parameters (Å, degrees): 8.9610 8.2306 6.4125 90.00 124.18 90.00
Space group Cm (No. 8)
Unique sites:
1 Na 0.0000 0.2182 0.0000
2 Pa 0.1450 0.0000 0.6630
3 F 0.0728 0.0000 0.2679
4 F 0.1977 0.2343 0.8582
5 F 0.4200 0.5000 0.7103
6 F 0.4429 0.0000 0.9055



No. 7
Na2PaF8: relaxed, PBE-GGA.

Summary:
E above lowest polymorph = 39.9 meV per atom
ρ = 4.6 g/cm3
Spin magnetization = 2.00 μB/cell
ΔE_f (raw) = -33.44 eV/f.u.

Lattice parameters (Å, degrees): 14.4613 4.0537 5.5302 90.00 106.80 90.00
Space group C2/m (No. 12)
Unique sites:
1 Na 0.1875 0.0000 0.2328
2 Pa 0.0000 0.5000 0.5000
3 F 0.0374 0.0000 0.3322
4 F 0.0730 0.5000 0.8802
5 F 0.1483 0.5000 0.4772
6 F 0.2339 0.0000 0.8904



No. 8
Na3PaF7: relaxed, PBE-GGA.

Summary:
ρ = 4.1 g/cm3
Spin magnetization = 2.00 μB/cell
ΔE_f (raw) = -35.92 eV/f.u.

Lattice parameters (Å, degrees): 7.9047 8.1613 6.6718 90.00 124.96 90.00
Space group Cm (No. 8)
Unique sites:
1 Na 0.0000 0.0000 0.0000
2 Na 0.0279 0.2692 0.5905
3 Pa 0.4858 0.0000 0.0554
4 F 0.1301 0.0000 0.7673
5 F 0.1661 0.5000 0.8884
6 F 0.1828 0.3122 0.3350
7 F 0.3600 0.0000 0.2879
8 F 0.3942 0.2390 0.8402



Copy entry 5 word for word.
NaPaF2: relaxed, PBE-GGA.

Summary:
ρ = 6.4 g/cm3
Spin magnetization = 2.12 μB/cell
ΔE_f (raw) = -8.22 eV/f.u.

Lattice parameters (Å, degrees): 3.2607 3.2607 24.6375 90.00 90.00 120.00
Space group R-3m (No. 166, hexagonal axes)
Unique sites:
1 Na 0.0000 0.0000 0.0000
2 Pa 0.0000 0.0000 0.5000
3 F 0.0000 0.0000 0.0981



What did the seventh record say?
Na2PaF8: relaxed, PBE-GGA.

Summary:
E above lowest polymorph = 39.9 meV per atom
ρ = 4.6 g/cm3
Spin magnetization = 2.00 μB/cell
ΔE_f (raw) = -33.44 eV/f.u.

Lattice parameters (Å, degrees): 14.4613 4.0537 5.5302 90.00 106.80 90.00
Space group C2/m (No. 12)
Unique sites:
1 Na 0.1875 0.0000 0.2328
2 Pa 0.0000 0.5000 0.5000
3 F 0.0374 0.0000 0.3322
4 F 0.0730 0.5000 0.8802
5 F 0.1483 0.5000 0.4772
6 F 0.2339 0.0000 0.8904